Entry 1:
# ZrRuIO2 (PBE-GGA, relaxed)
data_ZrRuIO2
_symmetry_space_group_name_H-M 'P 1'
_symmetry_Int_Tables_number 1
_cell_length_a 4.049
_cell_length_b 4.049
_cell_length_c 6.339
_cell_angle_alpha 90.00
_cell_angle_beta 90.00
_cell_angle_gamma 90.00
loop_
_symmetry_equiv_pos_as_xyz
'x,y,z'
loop_
_atom_site_label
_atom_site_type_symbol
_atom_site_fract_x
_atom_site_fract_y
_atom_site_fract_z
_atom_site_occupancy
Zr1 Zr 0.000 0.000 0.000 1
Ru1 Ru 0.500 0.500 0.500 1
I1 I 0.000 0.000 0.500 1
O1 O 0.000 0.500 0.000 1
O2 O 0.500 0.000 0.000 1
# Raw formation energy: -866.1 meV per atom
# Relative energy among the computed polymorphs: 0.00 eV/f.u.
# Magnetic moment: 2.37 Bohr magnetons per cell

Entry 2:
# CdHg2W (PBE-GGA, relaxed)
data_CdHg2W
_symmetry_space_group_name_H-M 'P 1'
_symmetry_Int_Tables_number 1
_cell_length_a 4.382
_cell_length_b 4.382
_cell_length_c 4.062
_cell_angle_alpha 90.00
_cell_angle_beta 90.00
_cell_angle_gamma 90.00
loop_
_symmetry_equiv_pos_as_xyz
'x,y,z'
loop_
_atom_site_label
_atom_site_type_symbol
_atom_site_fract_x
_atom_site_fract_y
_atom_site_fract_z
_atom_site_occupancy
Cd1 Cd 0.000 0.000 0.000 1
Hg1 Hg 0.000 0.500 0.500 1
Hg2 Hg 0.500 0.000 0.500 1
W1 W 0.500 0.500 0.000 1
# Energy of formation: 0.72 eV per atom
# Magnetic moment: 0.00 Bohr magnetons per cell

Entry 3:
# SrFeS2Cl (PBE-GGA, relaxed)
data_SrFeS2Cl
_symmetry_space_group_name_H-M 'P 1'
_symmetry_Int_Tables_number 1
_cell_length_a 5.519
_cell_length_b 5.519
_cell_length_c 5.402
_cell_angle_alpha 90.00
_cell_angle_beta 90.00
_cell_angle_gamma 90.00
loop_
_symmetry_equiv_pos_as_xyz
'x,y,z'
loop_
_atom_site_label
_atom_site_type_symbol
_atom_site_fract_x
_atom_site_fract_y
_atom_site_fract_z
_atom_site_occupancy
Sr1 Sr 0.000 0.000 0.000 1
Fe1 Fe 0.500 0.500 0.500 1
S1 S 0.000 0.500 0.000 1
S2 S 0.500 0.000 0.000 1
Cl1 Cl 0.000 0.000 0.500 1
# Raw formation energy: 313.8 meV per atom
# Relative energy among the computed polymorphs: 6.68 eV/f.u.
# Magnetic moment: 4.11 Bohr magnetons per cell

Entry 4:
# Tb2Pr7Mg (PBE-GGA, relaxed)
data_Tb2Pr7Mg
_symmetry_space_group_name_H-M 'P 1'
_symmetry_Int_Tables_number 1
_cell_length_a 9.227
_cell_length_b 9.227
_cell_length_c 5.706
_cell_angle_alpha 90.00
_cell_angle_beta 90.00
_cell_angle_gamma 121.73
loop_
_symmetry_equiv_pos_as_xyz
'x,y,z'
loop_
_atom_site_label
_atom_site_type_symbol
_atom_site_fract_x
_atom_site_fract_y
_atom_site_fract_z
_atom_site_occupancy
Tb1 Tb 0.207 0.793 0.000 1
Tb2 Tb 0.793 0.207 0.000 1
Pr1 Pr 0.000 0.000 0.000 1
Pr2 Pr 0.210 0.432 0.000 1
Pr3 Pr 0.272 0.728 0.500 1
Pr4 Pr 0.432 0.210 0.000 1
Pr5 Pr 0.568 0.790 0.000 1
Pr6 Pr 0.728 0.272 0.500 1
Pr7 Pr 0.790 0.568 0.000 1
Mg1 Mg 0.500 0.500 0.500 1
# Energy of formation: 0.57 eV per atom
# Magnetic moment: 0.00 Bohr magnetons per cell

Entry 5:
# Rb3U2CoSe6 (PBE-GGA, relaxed)
data_Rb3U2CoSe6
_symmetry_space_group_name_H-M 'P 1'
_symmetry_Int_Tables_number 1
_cell_length_a 7.157
_cell_length_b 7.157
_cell_length_c 8.349
_cell_angle_alpha 98.22
_cell_angle_beta 98.22
_cell_angle_gamma 119.99
loop_
_symmetry_equiv_pos_as_xyz
'x,y,z'
loop_
_atom_site_label
_atom_site_type_symbol
_atom_site_fract_x
_atom_site_fract_y
_atom_site_fract_z
_atom_site_occupancy
Rb1 Rb 0.000 0.000 0.000 1
Rb2 Rb 0.333 0.667 0.000 1
Rb3 Rb 0.667 0.333 0.000 1
U1 U 0.167 0.833 0.500 1
U2 U 0.833 0.167 0.500 1
Co1 Co 0.500 0.500 0.500 1
Se1 Se 0.114 0.437 0.311 1
Se2 Se 0.240 0.240 0.690 1
Se3 Se 0.437 0.114 0.311 1
Se4 Se 0.563 0.886 0.689 1
Se5 Se 0.760 0.760 0.310 1
Se6 Se 0.886 0.563 0.689 1
# Raw formation energy: -977.4 meV per atom
# Magnetic moment: 6.40 Bohr magnetons per cell

Entry 6:
# Ta4Re3Ir (PBE-GGA, relaxed)
data_Ta4Re3Ir
_symmetry_space_group_name_H-M 'P 1'
_symmetry_Int_Tables_number 1
_cell_length_a 3.253
_cell_length_b 4.497
_cell_length_c 8.976
_cell_angle_alpha 90.00
_cell_angle_beta 90.00
_cell_angle_gamma 90.00
loop_
_symmetry_equiv_pos_as_xyz
'x,y,z'
loop_
_atom_site_label
_atom_site_type_symbol
_atom_site_fract_x
_atom_site_fract_y
_atom_site_fract_z
_atom_site_occupancy
Ta1 Ta 0.000 0.000 0.000 1
Ta2 Ta 0.000 0.000 0.500 1
Ta3 Ta 0.000 0.500 0.247 1
Ta4 Ta 0.000 0.500 0.753 1
Re1 Re 0.500 0.000 0.253 1
Re2 Re 0.500 0.000 0.747 1
Re3 Re 0.500 0.500 0.000 1
Ir1 Ir 0.500 0.500 0.500 1
# Energy of formation: -0.40 eV per atom
# Magnetic moment: 0.00 Bohr magnetons per cell

Entry 7:
# NpTi2Os (PBE-GGA, relaxed)
data_NpTi2Os
_symmetry_space_group_name_H-M 'P 1'
_symmetry_Int_Tables_number 1
_cell_length_a 4.656
_cell_length_b 4.656
_cell_length_c 3.045
_cell_angle_alpha 90.00
_cell_angle_beta 90.00
_cell_angle_gamma 90.00
loop_
_symmetry_equiv_pos_as_xyz
'x,y,z'
loop_
_atom_site_label
_atom_site_type_symbol
_atom_site_fract_x
_atom_site_fract_y
_atom_site_fract_z
_atom_site_occupancy
Np1 Np 0.000 0.000 0.000 1
Ti1 Ti 0.000 0.500 0.500 1
Ti2 Ti 0.500 0.000 0.500 1
Os1 Os 0.500 0.500 0.000 1
# Energy of formation: 0.03 eV per atom
# Relative energy among the computed polymorphs: 0.74 eV/f.u.
# Magnetic moment: 3.34 Bohr magnetons per cell

Entry 8:
# UNbIr6 (PBE-GGA, relaxed)
data_UNbIr6
_symmetry_space_group_name_H-M 'P 1'
_symmetry_Int_Tables_number 1
_cell_length_a 3.993
_cell_length_b 3.993
_cell_length_c 7.972
_cell_angle_alpha 90.00
_cell_angle_beta 90.00
_cell_angle_gamma 90.00
loop_
_symmetry_equiv_pos_as_xyz
'x,y,z'
loop_
_atom_site_label
_atom_site_type_symbol
_atom_site_fract_x
_atom_site_fract_y
_atom_site_fract_z
_atom_site_occupancy
U1 U 0.000 0.000 0.000 1
Nb1 Nb 0.000 0.000 0.500 1
Ir1 Ir 0.000 0.500 0.257 1
Ir2 Ir 0.000 0.500 0.743 1
Ir3 Ir 0.500 0.000 0.257 1
Ir4 Ir 0.500 0.000 0.743 1
Ir5 Ir 0.500 0.500 0.000 1
Ir6 Ir 0.500 0.500 0.500 1
# Energy of formation: -0.58 eV per atom
# Magnetic moment: 0.00 Bohr magnetons per cell